1.
Below is AsPt2W after structural relaxation, with properties calculated at the PBE level.

As for the density of states at the Fermi level: 0.636 states/eV per atom. The value obtained for the volume is 15.962 A^3/atom. The calculated total energy comes out at -59.10 eV/cell. For the calculated formation energy, the calculation gives 33 meV/atom.

The structure belongs to space group Cmmm (No. 65); the cell edges are 5.3676, 8.3927 and 2.8347 Å and the angles 90.00°, 90.00° and 90.00°. Symmetry generates all atoms from As at (0.0000, 0.0000, 0.0000), Pt at (0.2500, 0.2500, 0.5000) and W at (0.0000, 0.5000, 0.0000).

2.
Below is AsPt3W after structural relaxation, with properties calculated at the PBE level.

As for the density of states at the Fermi level: 1.140 states/eV per atom. The value obtained for the volume is 22.782 A^3/atom. The calculated total energy comes out at -29.48 eV/cell. Its energy above the most stable polymorph in this dataset is 0.1770 eV per atom. For the calculated formation energy, the calculation gives 1250 meV/atom.

The structure belongs to space group Pm-3m (No. 221); the cell edges are 4.8475, 4.8475 and 4.8475 Å and the angles 90.00°, 90.00° and 90.00°. Symmetry generates all atoms from As at (0.0000, 0.0000, 0.0000), Pt at (0.0000, 0.5000, 0.5000) and W at (0.5000, 0.5000, 0.5000).

3.
Below is AsPt2W after structural relaxation, with properties calculated at the PBE level.

As for the density of states at the Fermi level: 1.022 states/eV per atom. The value obtained for the volume is 16.109 A^3/atom. The calculated total energy comes out at -88.29 eV/cell. For the calculated formation energy, the calculation gives 64 meV/atom.

The structure belongs to space group R3m (No. 160, hexagonal axes); the cell edges are 2.8605, 2.8605 and 27.2803 Å and the angles 90.00°, 90.00° and 120.00°. Symmetry generates all atoms from As at (0.0000, 0.0000, 0.0000), Pt at (0.0000, 0.0000, 0.2478), Pt at (0.0000, 0.0000, 0.4932) and W at (0.0000, 0.0000, 0.7473).

4.
Below is AsPt4W after structural relaxation, with properties calculated at the PBE level.

As for the density of states at the Fermi level: 1.155 states/eV per atom. The value obtained for the volume is 17.014 A^3/atom. The calculated total energy comes out at -156.32 eV/cell. For the calculated formation energy, the calculation gives 448 meV/atom.

The structure belongs to space group F-43m (No. 216); the cell edges are 7.4189, 7.4189 and 7.4189 Å and the angles 90.00°, 90.00° and 90.00°. Symmetry generates all atoms from As at (0.0000, 0.0000, 0.0000), Pt at (0.1246, 0.1246, 0.6246) and W at (0.2500, 0.2500, 0.2500).